The following is a DFT calculation (PBE) of a relaxed Ba3SnSb2O9 crystal.

Properties
space-group type = P-3m1
N(E_F) = 1.99 states/eV/f.u.
crystal system = trigonal
E_form (uncorrected) = -30.8 eV per formula unit
electronic total energy = -0.458 Ry/atom

The structure in POSCAR format:
```
Ba3SnSb2O9
1.0
6.014 0.000 0.000
-3.007 5.208 0.000
0.000 0.000 7.364
Ba Sn Sb O
3 1 2 9
Direct
0.000 0.000 0.000 Ba
0.333 0.667 0.666 Ba
0.667 0.333 0.334 Ba
0.000 0.000 0.500 Sn
0.333 0.667 0.169 Sb
0.667 0.333 0.831 Sb
0.000 0.500 0.000 O
0.168 0.335 0.334 O
0.168 0.832 0.334 O
0.335 0.168 0.666 O
0.500 0.000 0.000 O
0.500 0.500 0.000 O
0.665 0.832 0.334 O
0.832 0.168 0.666 O
0.832 0.665 0.666 O
```

The following is a DFT calculation (PBE) of a relaxed LaScCu2 crystal.

Properties
ΔE_f = -0.1481 eV/atom
space-group type = Pm
N(E_F) = 4.03 states/eV/f.u.
crystal system = monoclinic
polymorph energy (0 for the lowest one) = 44 meV/atom
electronic total energy = -0.368 Ry/atom

The structure in POSCAR format:
```
LaScCu2
1.0
3.722 0.000 0.000
0.000 4.413 0.000
-1.845 0.000 5.265
La Sc Cu
1 1 2
Direct
0.000 0.000 0.000 La
0.718 0.500 0.434 Sc
0.278 0.000 0.554 Cu
0.411 0.500 0.820 Cu
```

The following is a DFT calculation (PBE) of a relaxed Mn2ZnPt crystal.

Properties
ΔE_f = 0.2378 eV/atom
space-group type = I-42d
N(E_F) = 2.85 states/eV/f.u.
crystal system = tetragonal
electronic total energy = -0.454 Ry/atom

The structure in POSCAR format:
```
Mn2ZnPt
1.0
-3.548 3.548 2.594
3.548 -3.548 2.594
3.548 3.548 -2.594
Mn Zn Pt
4 2 2
Direct
0.116 0.625 0.991 Mn
0.375 0.366 0.491 Mn
0.634 0.125 0.009 Mn
0.875 0.884 0.509 Mn
0.250 0.750 0.500 Zn
0.500 0.500 0.000 Zn
0.000 0.000 0.000 Pt
0.750 0.250 0.500 Pt
```

The following is a DFT calculation (PBE) of a relaxed CuRhOF2 crystal.

Properties
space-group type = P4/mmm
N(E_F) = 3.28 states/eV/f.u.
crystal system = tetragonal
E_form (uncorrected) = -2.8 eV per formula unit
polymorph energy (0 for the lowest one) = 0 meV/atom
electronic total energy = -0.337 Ry/atom

The structure in POSCAR format:
```
CuRhOF2
1.0
4.307 0.000 0.000
0.000 4.307 0.000
0.000 0.000 3.719
Cu Rh O F
1 1 1 2
Direct
0.000 0.000 0.000 Cu
0.500 0.500 0.500 Rh
0.500 0.500 0.000 O
0.000 0.500 0.500 F
0.500 0.000 0.500 F
```

The following is a DFT calculation (PBE) of a relaxed TbU3Tl4Te8 crystal.

Properties
space-group type = R-3m
N(E_F) = 21.14 states/eV/f.u.
crystal system = trigonal
E_form (uncorrected) = -10.4 eV per formula unit
electronic total energy = -0.383 Ry/atom

The structure in POSCAR format:
```
TbU3Tl4Te8
1.0
4.425 2.555 8.306
-4.425 2.555 8.306
0.000 -5.109 8.306
Tb U Tl Te
1 3 4 8
Direct
0.000 0.000 0.000 Tb
0.000 0.500 0.500 U
0.500 0.000 0.500 U
0.500 0.500 0.000 U
0.000 0.000 0.500 Tl
0.000 0.500 0.000 Tl
0.500 0.000 0.000 Tl
0.500 0.500 0.500 Tl
0.238 0.238 0.740 Te
0.238 0.740 0.238 Te
0.260 0.762 0.762 Te
0.261 0.261 0.261 Te
0.739 0.739 0.739 Te
0.740 0.238 0.238 Te
0.762 0.260 0.762 Te
0.762 0.762 0.260 Te
```

The following is a DFT calculation (PBE) of a relaxed BaZrAlBi2 crystal.

Properties
ΔE_f = 1.4110 eV/atom
space-group type = P4/mmm
N(E_F) = 7.56 states/eV/f.u.
crystal system = tetragonal
electronic total energy = -0.219 Ry/atom

The structure in POSCAR format:
```
BaZrAlBi2
1.0
6.089 0.000 0.000
0.000 6.089 0.000
0.000 0.000 5.547
Ba Zr Al Bi
1 1 1 2
Direct
0.000 0.000 0.000 Ba
0.500 0.500 0.500 Zr
0.000 0.000 0.500 Al
0.000 0.500 0.000 Bi
0.500 0.000 0.000 Bi
```

The following is a DFT calculation (PBE) of a relaxed TaH2I8 crystal.

Properties
space-group type = P-1
N(E_F) = 2.70 states/eV/f.u.
crystal system = triclinic
electronic total energy = -0.213 Ry/atom

The structure in POSCAR format:
```
TaH2I8
1.0
6.967 0.000 0.000
1.171 7.591 0.000
1.971 0.022 9.419
Ta H I
1 2 8
Direct
0.000 0.000 0.000 Ta
0.252 0.044 0.875 H
0.748 0.956 0.125 H
0.062 0.346 0.421 I
0.178 0.975 0.230 I
0.206 0.294 0.892 I
0.305 0.749 0.858 I
0.695 0.251 0.142 I
0.794 0.706 0.108 I
0.822 0.025 0.770 I
0.938 0.654 0.579 I
```

The following is a DFT calculation (PBE) of a relaxed Tl6Sn2Hg crystal.

Properties
ΔE_f = 0.0189 eV/atom
space-group type = P-6m2
N(E_F) = 3.50 states/eV/f.u.
crystal system = hexagonal
polymorph energy (0 for the lowest one) = 3 meV/atom
electronic total energy = -0.182 Ry/atom

The structure in POSCAR format:
```
Tl6Sn2Hg
1.0
3.525 0.000 0.000
-1.763 3.053 0.000
0.000 0.000 25.128
Tl Sn Hg
6 2 1
Direct
0.000 0.000 0.066 Tl
0.000 0.000 0.280 Tl
0.000 0.000 0.720 Tl
0.000 0.000 0.934 Tl
0.333 0.667 0.396 Tl
0.333 0.667 0.604 Tl
0.333 0.667 0.174 Sn
0.333 0.667 0.826 Sn
0.000 0.000 0.500 Hg
```

The following is a DFT calculation (PBE) of a relaxed TeHSe2 crystal.

Properties
space-group type = P2/c
N(E_F) = 0.76 states/eV/f.u.
crystal system = monoclinic
polymorph energy (0 for the lowest one) = 0 meV/atom
electronic total energy = -0.246 Ry/atom

The structure in POSCAR format:
```
TeHSe2
1.0
5.795 0.000 0.000
0.000 6.085 0.000
-5.588 0.000 11.787
Te H Se
4 4 8
Direct
0.141 0.250 0.139 Te
0.141 0.750 0.639 Te
0.859 0.250 0.361 Te
0.859 0.750 0.861 Te
0.368 0.249 0.624 H
0.368 0.751 0.124 H
0.632 0.249 0.876 H
0.632 0.751 0.376 H
0.110 0.250 0.624 Se
0.110 0.750 0.124 Se
0.352 0.251 0.361 Se
0.352 0.749 0.861 Se
0.648 0.251 0.139 Se
0.648 0.749 0.639 Se
0.890 0.250 0.876 Se
0.890 0.750 0.376 Se
```

The following is a DFT calculation (PBE) of a relaxed RbHRh2S crystal.

Properties
space-group type = P4/mmm
N(E_F) = 5.45 states/eV/f.u.
crystal system = tetragonal
electronic total energy = -0.203 Ry/atom

The structure in POSCAR format:
```
RbHRh2S
1.0
5.032 0.000 0.000
0.000 5.032 0.000
0.000 0.000 3.475
Rb H Rh S
1 1 2 1
Direct
0.000 0.000 0.000 Rb
0.000 0.000 0.500 H
0.000 0.500 0.000 Rh
0.500 0.000 0.000 Rh
0.500 0.500 0.500 S
```

The following is a DFT calculation (PBE) of a relaxed LiZnRe2 crystal.

Properties
ΔE_f = 0.1432 eV/atom
space-group type = Pm
N(E_F) = 1.69 states/eV/f.u.
crystal system = monoclinic
electronic total energy = -0.506 Ry/atom

The structure in POSCAR format:
```
LiZnRe2
1.0
2.629 0.000 0.000
0.000 4.282 0.000
-0.891 0.000 5.125
Li Zn Re
1 1 2
Direct
0.000 0.000 0.000 Li
0.147 0.500 0.786 Zn
0.507 0.000 0.487 Re
0.718 0.500 0.272 Re
```

The following is a DFT calculation (PBE) of a relaxed KBaOs2 crystal.

Properties
ΔE_f = 0.7914 eV/atom
space-group type = Imm2
N(E_F) = 3.70 states/eV/f.u.
crystal system = orthorhombic
polymorph energy (0 for the lowest one) = 345 meV/atom
electronic total energy = -0.410 Ry/atom

The structure in POSCAR format:
```
KBaOs2
1.0
-2.092 2.805 4.897
2.092 -2.805 4.897
2.092 2.805 -4.897
K Ba Os
1 1 2
Direct
0.000 0.000 0.000 K
0.700 0.200 0.500 Ba
0.293 0.793 0.500 Os
0.402 0.402 0.000 Os
```

Copy entry 2 word for word.
The following is a DFT calculation (PBE) of a relaxed LaScCu2 crystal.

Properties
ΔE_f = -0.1481 eV/atom
space-group type = Pm
N(E_F) = 4.03 states/eV/f.u.
crystal system = monoclinic
polymorph energy (0 for the lowest one) = 44 meV/atom
electronic total energy = -0.368 Ry/atom

The structure in POSCAR format:
```
LaScCu2
1.0
3.722 0.000 0.000
0.000 4.413 0.000
-1.845 0.000 5.265
La Sc Cu
1 1 2
Direct
0.000 0.000 0.000 La
0.718 0.500 0.434 Sc
0.278 0.000 0.554 Cu
0.411 0.500 0.820 Cu
```

Copy entry 9 word for word.
The following is a DFT calculation (PBE) of a relaxed TeHSe2 crystal.

Properties
space-group type = P2/c
N(E_F) = 0.76 states/eV/f.u.
crystal system = monoclinic
polymorph energy (0 for the lowest one) = 0 meV/atom
electronic total energy = -0.246 Ry/atom

The structure in POSCAR format:
```
TeHSe2
1.0
5.795 0.000 0.000
0.000 6.085 0.000
-5.588 0.000 11.787
Te H Se
4 4 8
Direct
0.141 0.250 0.139 Te
0.141 0.750 0.639 Te
0.859 0.250 0.361 Te
0.859 0.750 0.861 Te
0.368 0.249 0.624 H
0.368 0.751 0.124 H
0.632 0.249 0.876 H
0.632 0.751 0.376 H
0.110 0.250 0.624 Se
0.110 0.750 0.124 Se
0.352 0.251 0.361 Se
0.352 0.749 0.861 Se
0.648 0.251 0.139 Se
0.648 0.749 0.639 Se
0.890 0.250 0.876 Se
0.890 0.750 0.376 Se
```

> What is the electronic total energy in the seventh record?

-0.213 Ry/atom

Repeat the fifth record exactly.
The following is a DFT calculation (PBE) of a relaxed TbU3Tl4Te8 crystal.

Properties
space-group type = R-3m
N(E_F) = 21.14 states/eV/f.u.
crystal system = trigonal
E_form (uncorrected) = -10.4 eV per formula unit
electronic total energy = -0.383 Ry/atom

The structure in POSCAR format:
```
TbU3Tl4Te8
1.0
4.425 2.555 8.306
-4.425 2.555 8.306
0.000 -5.109 8.306
Tb U Tl Te
1 3 4 8
Direct
0.000 0.000 0.000 Tb
0.000 0.500 0.500 U
0.500 0.000 0.500 U
0.500 0.500 0.000 U
0.000 0.000 0.500 Tl
0.000 0.500 0.000 Tl
0.500 0.000 0.000 Tl
0.500 0.500 0.500 Tl
0.238 0.238 0.740 Te
0.238 0.740 0.238 Te
0.260 0.762 0.762 Te
0.261 0.261 0.261 Te
0.739 0.739 0.739 Te
0.740 0.238 0.238 Te
0.762 0.260 0.762 Te
0.762 0.762 0.260 Te
```